# ScNi2H4, optimized geometry, DFT GGA-PBE
data_ScNi2H4
_chemical_formula_sum 'Sc4 Ni8 H16'
_symmetry_space_group_name_H-M 'I 41/a m d'
_symmetry_Int_Tables_number 141
_cell_length_a 5.6891
_cell_length_b 5.6891
_cell_length_c 6.6675
_cell_angle_alpha 90.00
_cell_angle_beta 90.00
_cell_angle_gamma 90.00
loop_
_symmetry_equiv_pos_as_xyz
'x,y,z'
'-x,-y,-z'
'-y+1/4,x+3/4,z+1/4'
'y+1/4,-x+3/4,-z+1/4'
'-x+1/2,-y,z+1/2'
'x+1/2,y,-z+1/2'
'y+1/4,-x+1/4,z+3/4'
'-y+1/4,x+1/4,-z+3/4'
'x,-y,-z'
'-x,y,z'
'-y+1/4,-x+1/4,-z+3/4'
'y+1/4,x+1/4,z+3/4'
'-x+1/2,y,-z+1/2'
'x+1/2,-y,z+1/2'
'y+1/4,x+3/4,-z+1/4'
'-y+1/4,-x+3/4,z+1/4'
'x+1/2,y+1/2,z+1/2'
'-x+1/2,-y+1/2,-z+1/2'
'-y+3/4,x+1/4,z+3/4'
'y+3/4,-x+1/4,-z+3/4'
'-x,-y+1/2,z'
'x,y+1/2,-z'
'y+3/4,-x+3/4,z+1/4'
'-y+3/4,x+3/4,-z+1/4'
'x+1/2,-y+1/2,-z+1/2'
'-x+1/2,y+1/2,z+1/2'
'-y+3/4,-x+3/4,-z+1/4'
'y+3/4,x+3/4,z+1/4'
'-x,y+1/2,-z'
'x,-y+1/2,z'
'y+3/4,x+1/4,-z+3/4'
'-y+3/4,-x+1/4,z+3/4'
loop_
_atom_site_label
_atom_site_fract_x
_atom_site_fract_y
_atom_site_fract_z
_atom_site_occupancy
Sc1 0.0000 0.2500 0.3750 1
Ni1 0.0000 0.0000 0.0000 1
H1 0.0000 0.0809 0.7348 1
# DOS at the Fermi energy	0.488	states/eV per atom
# final energy	-4.697	eV per atom
# calculated density	5.1	Mg/m³